The following is a DFT calculation (GGA-PBE) of a relaxed YHO2 crystal.

```
data_YHO2
_chemical_formula_sum 'Y2 H2 O4'
_cell_length_a 4.0787
_cell_length_b 3.6801
_cell_length_c 6.0270
_cell_angle_alpha 90.00
_cell_angle_beta 106.07
_cell_angle_gamma 90.00
_space_group_name_H-M_alt 'P 1'
_space_group_IT_number 1
_space_group_name_Hall 'P 1'
loop_
_atom_site_label
_atom_site_fract_x
_atom_site_fract_y
_atom_site_fract_z
_atom_site_occupancy
Y1 0.1729 0.2500 0.3057 1
Y2 0.8271 0.7500 0.6943 1
H1 0.5000 0.0000 0.0000 1
H2 0.5000 0.5000 0.0000 1
O1 0.2532 0.7500 0.5228 1
O2 0.3114 0.7500 0.0306 1
O3 0.6886 0.2500 0.9694 1
O4 0.7468 0.2500 0.4772 1
```

Properties
Crystal system = monoclinic
Total DFT energy (no corrections) = -0.550 Ry/atom
Magnetic moment = 0.0000 μB/atom